DFT (GGA+U) results for crystalline Li2FeP4H16O20 at its relaxed geometry.

Calculated values
- raw total energy (eV/atom) = -5.84

Cell lengths 7.1369, 10.6487, 10.9573 Å; angles 90.00, 100.65, 90.00 degrees
With the nearest neighbours (Å) after each atom.
Element x y z (fractional)
H 0.0789 0.2867 0.7167  1 O 1.03
H 0.5789 0.2133 0.2167  1 O 1.03
O 0.5835 0.1471 0.5851  1 H 1.04
Fe 0.5000 0.5000 0.5000  6 O 2.11-2.21
P 0.2336 0.7667 0.4123  4 O 1.52-1.59
P 0.7354 0.5456 0.2778  4 O 1.52-1.60
H 0.4211 0.7867 0.7833  1 O 1.03
O 0.3691 0.2452 0.2222  1 P 1.54, 2 H 1.55-1.70
O 0.7902 0.6896 0.3028  1 H 1.03
H 0.3593 0.5498 0.1858  1 O 1.00
O 0.7614 0.4279 0.8727  2 H 1.00
H 0.3731 0.9448 0.3955  1 O 1.04
H 0.8551 0.5983 0.6012  1 O 0.99
H 0.8061 0.1700 0.8447  1 O 1.00
H 0.8269 0.4133 0.4292  1 O 1.02
H 0.1547 0.9008 0.5508  1 O 1.06
P 0.7664 0.2333 0.5877  4 O 1.52-1.59
O 0.5402 0.5286 0.3131  1 P 1.52
O 0.2969 0.6465 0.4831  1 P 1.52, 1 H 1.56
O 0.7476 0.5112 0.1444  1 H 1.46, 1 P 1.52
H 0.3200 0.1319 0.3205  1 O 1.00
O 0.4165 0.8529 0.4149  1 H 1.04
H 0.3061 0.3300 0.3447  1 O 1.00
O 0.2098 0.3104 0.6972  1 H 1.03
O 0.8895 0.4631 0.3674  1 H 1.02
H 0.6269 0.0552 0.6045  1 O 1.04
O 0.6105 0.9631 0.1326  1 H 1.02
H 0.3453 0.4008 0.9492  1 O 1.06
O 0.3895 0.0369 0.8674  1 H 1.02
O 0.7733 0.1351 0.9225  2 H 0.99-1.00
O 0.7386 0.9279 0.6273  2 H 1.00
P 0.2354 0.9544 0.7778  4 O 1.52-1.60
H 0.1449 0.4017 0.3988  1 O 0.99
O 0.2524 0.4888 0.8556  1 H 1.46, 1 P 1.52
O 0.7031 0.3535 0.5169  1 P 1.52, 1 H 1.56
O 0.5890 0.6591 0.9786  1 H 1.06
H 0.1731 0.5867 0.5708  1 O 1.02
O 0.2614 0.0721 0.3727  2 H 1.00
O 0.1309 0.7452 0.2778  1 P 1.54, 2 H 1.55-1.70
O 0.7267 0.6351 0.5775  2 H 0.99-1.00
H 0.1407 0.0498 0.3142  1 O 1.00
H 0.3551 0.9017 0.1012  1 O 0.99
H 0.3269 0.0867 0.9292  1 O 1.02
H 0.6731 0.9133 0.0708  1 O 1.02
P 0.7336 0.7333 0.9123  4 O 1.52-1.59
O 0.2902 0.8104 0.8028  1 H 1.03
H 0.8731 0.5552 0.8955  1 O 1.04
O 0.9165 0.6471 0.9149  1 H 1.04
Li 0.2415 0.6577 0.9471  3 O 2.07-2.28
O 0.2031 0.1465 0.0169  1 P 1.52, 1 H 1.56
O 0.2476 0.9888 0.6444  1 H 1.46, 1 P 1.52
Li 0.7415 0.8423 0.4471  3 O 2.07-2.28
O 0.2733 0.3649 0.4225  2 H 0.99-1.00
O 0.4598 0.4714 0.6869  1 P 1.52
H 0.1269 0.4448 0.1045  1 O 1.04
O 0.7524 0.0112 0.3556  1 H 1.46, 1 P 1.52
P 0.2646 0.4544 0.7222  4 O 1.52-1.60
H 0.6449 0.0983 0.8988  1 O 0.99
H 0.6939 0.6700 0.6553  1 O 1.00
H 0.9211 0.7133 0.2833  1 O 1.03
O 0.8691 0.2548 0.7222  1 P 1.54, 2 H 1.55-1.70
H 0.8200 0.3681 0.8205  1 O 1.00
O 0.1105 0.5369 0.6326  1 H 1.02
P 0.2664 0.2667 0.0877  4 O 1.52-1.59
H 0.8453 0.0992 0.4492  1 O 1.06
Li 0.7585 0.3423 0.0529  3 O 2.07-2.28
O 0.0402 0.9714 0.8131  1 P 1.52
O 0.0835 0.3529 0.0851  1 H 1.04
O 0.7098 0.1896 0.1972  1 H 1.03
O 0.9598 0.0286 0.1869  1 P 1.52
O 0.9110 0.1591 0.5214  1 H 1.06
O 0.2267 0.8649 0.0775  2 H 0.99-1.00
Fe 0.0000 0.0000 0.0000  6 O 2.11-2.21
H 0.1800 0.6319 0.1795  1 O 1.00
H 0.6800 0.8681 0.6795  1 O 1.00
O 0.6309 0.7548 0.7778  1 P 1.54, 2 H 1.55-1.70
P 0.7646 0.0456 0.2222  4 O 1.52-1.60
H 0.1939 0.8300 0.1553  1 O 1.00
H 0.6547 0.5992 0.0508  1 O 1.06
O 0.4110 0.3409 0.0214  1 H 1.06
O 0.7969 0.8535 0.9831  1 P 1.52, 1 H 1.56
H 0.8593 0.9502 0.6858  1 O 1.00
O 0.0890 0.8409 0.4786  1 H 1.06
H 0.6407 0.4502 0.8142  1 O 1.00
O 0.2386 0.5721 0.1273  2 H 1.00
Li 0.2585 0.1577 0.5529  3 O 2.07-2.28